Entry 1:
{"formula": "Mo2CN", "functional": "GGA-PBE", "state": "optimized geometry", "density_g_cm3": 9.1, "formation_energy_uncorrected_ev_per_atom": 0.483, "space_group": "No. 225", "e_above_lowest_polymorph_ev_per_atom": 0.753, "m_tot_mub_per_fu": 0.0, "final_energy_ev_per_atom": -9.320, "lattice": [[0.000, 2.709, 2.709], [2.709, 0.000, 2.709], [2.709, 2.709, 0.000]], "species": ["Mo", "Mo", "C", "N"], "frac_coords": [[0.250, 0.250, 0.250], [0.750, 0.750, 0.750], [0.000, 0.000, 0.000], [0.500, 0.500, 0.500]]}


Entry 2:
{"formula": "RbBe2SnBi", "functional": "GGA-PBE", "state": "optimized geometry", "density_g_cm3": 4.3, "space_group": "No. 123", "m_tot_mub_per_fu": 0.2, "final_energy_ev_per_atom": -2.277, "lattice": [[5.146, 0.000, 0.000], [0.000, 5.146, 0.000], [0.000, 0.000, 6.332]], "species": ["Rb", "Be", "Be", "Sn", "Bi"], "frac_coords": [[0.000, 0.000, 0.000], [0.000, 0.500, 0.500], [0.500, 0.000, 0.500], [0.500, 0.500, 0.000], [0.500, 0.500, 0.500]]}


Entry 3:
{"formula": "KTi3Ir", "functional": "GGA-PBE", "state": "optimized geometry", "density_g_cm3": 5.2, "space_group": "No. 221", "e_above_lowest_polymorph_ev_per_atom": 0.000, "m_tot_mub_per_fu": 0.0, "final_energy_ev_per_atom": -6.272, "lattice": [[4.926, 0.000, 0.000], [0.000, 4.926, 0.000], [0.000, 0.000, 4.926]], "species": ["K", "Ti", "Ti", "Ti", "Ir"], "frac_coords": [[0.000, 0.000, 0.000], [0.000, 0.500, 0.500], [0.500, 0.000, 0.500], [0.500, 0.500, 0.000], [0.500, 0.500, 0.500]]}


Entry 4:
{"formula": "CuHgSe2", "functional": "GGA-PBE", "state": "optimized geometry", "density_g_cm3": 8.3, "formation_energy_uncorrected_ev_per_atom": 0.070, "space_group": "No. 123", "m_tot_mub_per_fu": 0.0, "final_energy_ev_per_atom": -2.772, "lattice": [[3.914, 0.000, 0.000], [0.000, 3.914, 0.000], [0.000, 0.000, 5.505]], "species": ["Cu", "Hg", "Se", "Se"], "frac_coords": [[0.000, 0.000, 0.000], [0.500, 0.500, 0.500], [0.000, 0.000, 0.500], [0.500, 0.500, 0.000]]}


Entry 5:
{"formula": "K2Cd2B", "functional": "GGA-PBE", "state": "optimized geometry", "density_g_cm3": 2.8, "space_group": "No. 127", "e_above_lowest_polymorph_ev_per_atom": 0.187, "m_tot_mub_per_fu": 1.4, "final_energy_ev_per_atom": -1.187, "lattice": [[8.311, 0.000, 0.000], [0.000, 8.311, 0.000], [0.000, 0.000, 5.352]], "species": ["K", "K", "K", "K", "Cd", "Cd", "Cd", "Cd", "B", "B"], "frac_coords": [[0.168, 0.332, 0.000], [0.332, 0.832, 0.000], [0.668, 0.168, 0.000], [0.832, 0.668, 0.000], [0.137, 0.637, 0.500], [0.363, 0.137, 0.500], [0.637, 0.863, 0.500], [0.863, 0.363, 0.500], [0.000, 0.000, 0.000], [0.500, 0.500, 0.000]]}


Entry 6:
{"formula": "Tm3Zn3Pd", "functional": "GGA-PBE", "state": "optimized geometry", "density_g_cm3": 9.0, "space_group": "No. 44", "m_tot_mub_per_fu": 0.0, "final_energy_ev_per_atom": -3.681, "lattice": [[-1.790, 2.226, 9.369], [1.790, -2.226, 9.369], [1.790, 2.226, -9.369]], "species": ["Tm", "Tm", "Tm", "Zn", "Zn", "Zn", "Pd"], "frac_coords": [[0.000, 0.000, 0.000], [0.381, 0.381, 0.000], [0.701, 0.201, 0.500], [0.126, 0.626, 0.500], [0.553, 0.553, 0.000], [0.838, 0.838, 0.000], [0.261, 0.761, 0.500]]}